The following is a PBE calculation of an optimized crystal structure of GdTmTlPd, from Alexandria via LeMat-Bulk.

Cell lengths 7.313, 7.313, 7.313 Å; angles 90.00, 90.00, 90.00 degrees
Fractional positions:
Gd1 0.000 0.000 0.000
Gd2 0.000 0.500 0.500
Gd3 0.500 0.000 0.500
Gd4 0.500 0.500 0.000
Tm1 0.000 0.000 0.500
Tm2 0.000 0.500 0.000
Tm3 0.500 0.000 0.000
Tm4 0.500 0.500 0.500
Tl1 0.250 0.250 0.250
Tl2 0.250 0.750 0.750
Tl3 0.750 0.250 0.750
Tl4 0.750 0.750 0.250
Pd1 0.250 0.250 0.750
Pd2 0.250 0.750 0.250
Pd3 0.750 0.250 0.250
Pd4 0.750 0.750 0.750

Results
- Electronic total energy: -113.104 eV for the cell shown
- N(E_F): 14.09 states/eV per cell
- Total moment: 28.91 μB/cell
- Formation energy: -0.5411 eV per atom
- Symmetry: F-43m



The following is a PBE calculation of an optimized crystal structure of GdYTlPd, from Alexandria via LeMat-Bulk.

Cell lengths 7.366, 7.366, 7.366 Å; angles 90.00, 90.00, 90.00 degrees
Fractional positions:
Gd1 0.000 0.000 0.000
Gd2 0.000 0.500 0.500
Gd3 0.500 0.000 0.500
Gd4 0.500 0.500 0.000
Y1 0.000 0.000 0.500
Y2 0.000 0.500 0.000
Y3 0.500 0.000 0.000
Y4 0.500 0.500 0.500
Tl1 0.250 0.250 0.750
Tl2 0.250 0.750 0.250
Tl3 0.750 0.250 0.250
Tl4 0.750 0.750 0.750
Pd1 0.250 0.250 0.250
Pd2 0.250 0.750 0.750
Pd3 0.750 0.250 0.750
Pd4 0.750 0.750 0.250

Results
- Electronic total energy: -121.159 eV for the cell shown
- N(E_F): 13.18 states/eV per cell
- Total moment: 28.93 μB/cell
- Formation energy: -0.5464 eV per atom
- Symmetry: F-43m



The following is a PBE calculation of an optimized crystal structure of GdTmPd4, from Alexandria via LeMat-Bulk.

Cell lengths 5.438, 5.438, 5.438 Å; angles 60.00, 60.00, 60.00 degrees
Fractional positions:
Gd1 0.000 0.000 0.000
Tm1 0.250 0.250 0.250
Pd1 0.126 0.625 0.625
Pd2 0.625 0.126 0.625
Pd3 0.625 0.625 0.126
Pd4 0.625 0.625 0.625

Results
- Electronic total energy: -44.202 eV for the cell shown
- N(E_F): 3.44 states/eV per cell
- Total moment: 7.16 μB/cell
- Formation energy: -0.8130 eV per atom
- Symmetry: F-43m



The following is a PBE calculation of an optimized crystal structure of GdTmPd2, from Alexandria via LeMat-Bulk.

Cell lengths 4.999, 4.999, 3.438 Å; angles 90.00, 90.00, 90.00 degrees
Fractional positions:
Gd1 0.000 0.000 0.000
Tm1 0.500 0.500 0.000
Pd1 0.000 0.500 0.500
Pd2 0.500 0.000 0.500

Results
- Electronic total energy: -32.462 eV for the cell shown
- N(E_F): 2.32 states/eV per cell
- Total moment: 7.08 μB/cell
- Formation energy: -0.8810 eV per atom
- Symmetry: P4/mmm



The following is a PBE calculation of an optimized crystal structure of GdTmPd2, from Alexandria via LeMat-Bulk.

Cell lengths 4.092, 4.092, 19.801 Å; angles 90.00, 90.00, 120.00 degrees
Fractional positions:
Gd1 0.000 0.000 0.000
Gd2 0.333 0.667 0.667
Gd3 0.667 0.333 0.333
Tm1 0.000 0.000 0.500
Tm2 0.333 0.667 0.167
Tm3 0.667 0.333 0.833
Pd1 0.000 0.000 0.246
Pd2 0.000 0.000 0.754
Pd3 0.333 0.667 0.420
Pd4 0.333 0.667 0.913
Pd5 0.667 0.333 0.087
Pd6 0.667 0.333 0.580

Results
- Electronic total energy: -95.695 eV for the cell shown
- N(E_F): 8.62 states/eV per cell
- Total moment: 21.71 μB/cell
- Formation energy: -0.7400 eV per atom
- Symmetry: R-3m



The following is a PBE calculation of an optimized crystal structure of Gd2TmPd, from Alexandria via LeMat-Bulk.

Cell lengths 3.615, 3.615, 8.274 Å; angles 90.00, 90.00, 90.00 degrees
Fractional positions:
Gd1 0.000 0.000 0.204
Gd2 0.000 0.000 0.796
Tm1 0.500 0.500 0.500
Pd1 0.500 0.500 0.000

Results
- Electronic total energy: -39.323 eV for the cell shown
- N(E_F): 5.63 states/eV per cell
- Total moment: 14.75 μB/cell
- Excess energy over the best structure of this formula in the dataset: 0.00 kJ/mol of atoms
- Formation energy: -0.3743 eV per atom
- Symmetry: P4/mmm



The following is a PBE calculation of an optimized crystal structure of Gd2TmPd, from Alexandria via LeMat-Bulk.

Cell lengths 3.416, 3.416, 33.068 Å; angles 90.00, 90.00, 120.00 degrees
Fractional positions:
Gd1 0.000 0.000 0.080
Gd2 0.000 0.000 0.920
Gd3 0.333 0.667 0.587
Gd4 0.333 0.667 0.746
Gd5 0.667 0.333 0.254
Gd6 0.667 0.333 0.413
Tm1 0.000 0.000 0.500
Tm2 0.333 0.667 0.167
Tm3 0.667 0.333 0.833
Pd1 0.000 0.000 0.000
Pd2 0.333 0.667 0.667
Pd3 0.667 0.333 0.333

Results
- Electronic total energy: -112.715 eV for the cell shown
- N(E_F): 11.64 states/eV per cell
- Total moment: 43.18 μB/cell
- Excess energy over the best structure of this formula in the dataset: 42.25 kJ/mol of atoms
- Formation energy: 0.0636 eV per atom
- Symmetry: R-3m



The following is a PBE calculation of an optimized crystal structure of GdUPd4, from Alexandria via LeMat-Bulk.

Cell lengths 5.447, 5.447, 5.447 Å; angles 60.00, 60.00, 60.00 degrees
Fractional positions:
Gd1 0.000 0.000 0.000
U1 0.750 0.750 0.750
Pd1 0.375 0.375 0.375
Pd2 0.375 0.375 0.875
Pd3 0.375 0.875 0.375
Pd4 0.875 0.375 0.375

Results
- Electronic total energy: -49.217 eV for the cell shown
- N(E_F): 10.49 states/eV per cell
- Total moment: 10.17 μB/cell
- Formation energy: -0.5128 eV per atom
- Symmetry: F-43m



Question: Number 8 is which compound?
Answer: GdUPd4